Entry 1:
# Er12Al5Zn2 PBE optimized geometry
data_Er12Al5Zn2
_cell_length_a 14.842
_cell_length_b 8.355
_cell_length_c 8.002
_cell_angle_alpha 90.00
_cell_angle_beta 93.40
_cell_angle_gamma 90.00
_space_group_name_H-M_alt 'C 1 2/m 1'
_space_group_IT_number 12
_space_group_name_Hall '-C 2y'
loop_
_atom_site_label
_atom_site_type_symbol
_atom_site_fract_x
_atom_site_fract_y
_atom_site_fract_z
Er1 Er 0.038 0.000 0.207
Er2 Er 0.052 0.500 0.661
Er3 Er 0.144 0.224 0.911
Er4 Er 0.168 0.309 0.353
Al1 Al 0.000 0.500 0.000
Al2 Al 0.146 0.000 0.574
Al3 Al 0.245 0.000 0.237
Zn1 Zn 0.000 0.191 0.500
# ΔH_f (0 K) in eV/atom: -0.089
# Energy in Ha/atom: -0.150
# Total moment in Bohr magnetons per cell: 0.0
# DOS(E_F) in states/eV/atom: 1.092

Entry 2:
# Ac7Ni2Ir2 PBE optimized geometry
data_Ac7Ni2Ir2
_cell_length_a 4.130
_cell_length_b 16.451
_cell_length_c 10.161
_cell_angle_alpha 90.00
_cell_angle_beta 90.00
_cell_angle_gamma 90.00
_space_group_name_H-M_alt 'I m m 2'
_space_group_IT_number 44
_space_group_name_Hall 'I 2 -2'
loop_
_atom_site_label
_atom_site_type_symbol
_atom_site_fract_x
_atom_site_fract_y
_atom_site_fract_z
Ac1 Ac 0.000 0.000 0.000
Ac2 Ac 0.000 0.113 0.368
Ac3 Ac 0.000 0.304 0.576
Ac4 Ac 0.000 0.379 0.223
Ni1 Ni 0.000 0.000 0.630
Ni2 Ni 0.000 0.500 0.706
Ir1 Ir 0.000 0.244 0.865
# ΔH_f (0 K) in eV/atom: -0.327
# Energy in Ha/atom: -0.206
# Total moment in Bohr magnetons per cell: 0.0
# DOS(E_F) in states/eV/atom: 1.033

Entry 3:
# Nd2Dy6HoEr3 PBE optimized geometry
data_Nd2Dy6HoEr3
_cell_length_a 6.157
_cell_length_b 10.655
_cell_length_c 11.776
_cell_angle_alpha 90.00
_cell_angle_beta 99.99
_cell_angle_gamma 90.00
_space_group_name_H-M_alt 'C 1 2/m 1'
_space_group_IT_number 12
_space_group_name_Hall '-C 2y'
loop_
_atom_site_label
_atom_site_type_symbol
_atom_site_fract_x
_atom_site_fract_y
_atom_site_fract_z
Nd1 Nd 0.000 0.167 0.000
Dy1 Dy 0.247 0.500 0.746
Dy2 Dy 0.249 0.166 0.747
Ho1 Ho 0.000 0.500 0.000
Er1 Er 0.000 0.000 0.500
Er2 Er 0.000 0.334 0.500
# ΔH_f (0 K) in eV/atom: 0.018
# Energy in Ha/atom: -0.169
# Total moment in Bohr magnetons per cell: 0.0
# DOS(E_F) in states/eV/atom: 1.296

Entry 4:
# Si2W3 PBE optimized geometry
data_Si2W3
_cell_length_a 4.1955
_cell_length_b 4.1955
_cell_length_c 5.2415
_cell_angle_alpha 90.00
_cell_angle_beta 90.00
_cell_angle_gamma 120.00
_space_group_name_H-M_alt 'P -3 m 1'
_space_group_IT_number 164
_space_group_name_Hall '-P 3 2"'
loop_
_atom_site_label
_atom_site_type_symbol
_atom_site_fract_x
_atom_site_fract_y
_atom_site_fract_z
Si1 Si 0.3333 0.6667 0.3157
W1 W 0.0000 0.0000 0.5000
W2 W 0.3333 0.6667 0.8285
# Energy in Ha/atom: -0.349
# Uncorrected formation energy in kJ/mol of atoms: 43.5
# Energy above the lowest structure with this stoichiometry in eV/atom: 0.450
# Total moment in Bohr magnetons per cell: 0.0
# DOS(E_F) in states/eV/atom: 1.169

Entry 5:
# Be3ReP PBE optimized geometry
data_Be3ReP
_cell_length_a 3.964
_cell_length_b 3.964
_cell_length_c 3.964
_cell_angle_alpha 90.00
_cell_angle_beta 90.00
_cell_angle_gamma 90.00
_space_group_name_H-M_alt 'P m -3 m'
_space_group_IT_number 221
_space_group_name_Hall '-P 4 2 3'
loop_
_atom_site_label
_atom_site_type_symbol
_atom_site_fract_x
_atom_site_fract_y
_atom_site_fract_z
Be1 Be 0.000 0.000 0.500
Re1 Re 0.500 0.500 0.500
P1 P 0.000 0.000 0.000
# ΔH_f (0 K) in eV/atom: 1.099
# Energy in Ha/atom: -0.173
# Energy above the lowest structure with this stoichiometry in eV/atom: 0.000
# Total moment in Bohr magnetons per cell: 0.0
# DOS(E_F) in states/eV/atom: 1.110

Entry 6:
# YZr2Tl3Te6 PBE optimized geometry
data_YZr2Tl3Te6
_cell_length_a 7.279
_cell_length_b 12.614
_cell_length_c 8.755
_cell_angle_alpha 90.00
_cell_angle_beta 106.10
_cell_angle_gamma 90.00
_space_group_name_H-M_alt 'C 1 2/m 1'
_space_group_IT_number 12
_space_group_name_Hall '-C 2y'
loop_
_atom_site_label
_atom_site_type_symbol
_atom_site_fract_x
_atom_site_fract_y
_atom_site_fract_z
Y1 Y 0.000 0.000 0.000
Zr1 Zr 0.000 0.332 0.000
Tl1 Tl 0.000 0.161 0.500
Tl2 Tl 0.000 0.500 0.500
Te1 Te 0.223 0.500 0.208
Te2 Te 0.244 0.173 0.213
# Energy in Ha/atom: -0.180
# Uncorrected formation energy in kJ/mol of atoms: -73.3
# Total moment in Bohr magnetons per cell: 0.0
# DOS(E_F) in states/eV/atom: 0.535

Entry 7:
# Sc4C2Br PBE optimized geometry
data_Sc4C2Br
_cell_length_a 3.4136
_cell_length_b 3.4136
_cell_length_c 36.7486
_cell_angle_alpha 90.00
_cell_angle_beta 90.00
_cell_angle_gamma 120.00
_space_group_name_H-M_alt 'R -3 m'
_space_group_IT_number 166
_space_group_name_Hall '-R 3 2"'
loop_
_atom_site_label
_atom_site_type_symbol
_atom_site_fract_x
_atom_site_fract_y
_atom_site_fract_z
Sc1 Sc 0.0000 0.0000 0.1245
Sc2 Sc 0.0000 0.0000 0.2735
C1 C 0.0000 0.0000 0.4229
Br1 Br 0.0000 0.0000 0.0000
# Energy in Ha/atom: -0.266
# Uncorrected formation energy in kJ/mol of atoms: -71.9
# Total moment in Bohr magnetons per cell: 0.0
# DOS(E_F) in states/eV/atom: 0.679

Entry 8:
# La4Pt5Au2 PBE optimized geometry
data_La4Pt5Au2
_cell_length_a 7.494
_cell_length_b 4.050
_cell_length_c 8.578
_cell_angle_alpha 90.00
_cell_angle_beta 91.69
_cell_angle_gamma 90.00
_space_group_name_H-M_alt 'P 1 2/m 1'
_space_group_IT_number 10
_space_group_name_Hall '-P 2y'
loop_
_atom_site_label
_atom_site_type_symbol
_atom_site_fract_x
_atom_site_fract_y
_atom_site_fract_z
La1 La 0.234 0.000 0.119
La2 La 0.259 0.000 0.614
Pt1 Pt 0.000 0.500 0.500
Pt2 Pt 0.035 0.500 0.829
Pt3 Pt 0.346 0.500 0.375
Au1 Au 0.408 0.500 0.860
# ΔH_f (0 K) in eV/atom: -1.032
# Energy in Ha/atom: -0.227
# Total moment in Bohr magnetons per cell: 0.0
# DOS(E_F) in states/eV/atom: 0.434

Entry 9:
# Nd2Be3CuSi4 PBE optimized geometry
data_Nd2Be3CuSi4
_cell_length_a 4.011
_cell_length_b 4.011
_cell_length_c 9.724
_cell_angle_alpha 90.00
_cell_angle_beta 90.00
_cell_angle_gamma 90.00
_space_group_name_H-M_alt 'P -4 m 2'
_space_group_IT_number 115
_space_group_name_Hall 'P -4 -2'
loop_
_atom_site_label
_atom_site_type_symbol
_atom_site_fract_x
_atom_site_fract_y
_atom_site_fract_z
Nd1 Nd 0.000 0.500 0.248
Be1 Be 0.000 0.500 0.872
Be2 Be 0.500 0.500 0.500
Cu1 Cu 0.000 0.000 0.500
Si1 Si 0.000 0.000 0.000
Si2 Si 0.000 0.500 0.634
Si3 Si 0.500 0.500 0.000
# Energy in Ha/atom: -0.186
# Uncorrected formation energy in kJ/mol of atoms: -39.8
# Total moment in Bohr magnetons per cell: 0.0
# DOS(E_F) in states/eV/atom: 0.280

Entry 10:
# HgPRh2 PBE optimized geometry
data_HgPRh2
_cell_length_a 2.911
_cell_length_b 2.911
_cell_length_c 7.220
_cell_angle_alpha 90.00
_cell_angle_beta 90.00
_cell_angle_gamma 90.00
_space_group_name_H-M_alt 'P 4/m m m'
_space_group_IT_number 123
_space_group_name_Hall '-P 4 2'
loop_
_atom_site_label
_atom_site_type_symbol
_atom_site_fract_x
_atom_site_fract_y
_atom_site_fract_z
Hg1 Hg 0.000 0.000 0.000
P1 P 0.000 0.000 0.500
Rh1 Rh 0.500 0.500 0.307
# ΔH_f (0 K) in eV/atom: -0.254
# Energy in Ha/atom: -0.197
# Total moment in Bohr magnetons per cell: 0.0
# DOS(E_F) in states/eV/atom: 0.489

Entry 11:
# Y2ZnCuN PBE optimized geometry
data_Y2ZnCuN
_cell_length_a 4.850
_cell_length_b 4.850
_cell_length_c 3.871
_cell_angle_alpha 90.00
_cell_angle_beta 90.00
_cell_angle_gamma 90.00
_space_group_name_H-M_alt 'P 4/m m m'
_space_group_IT_number 123
_space_group_name_Hall '-P 4 2'
loop_
_atom_site_label
_atom_site_type_symbol
_atom_site_fract_x
_atom_site_fract_y
_atom_site_fract_z
Y1 Y 0.000 0.500 0.000
Zn1 Zn 0.000 0.000 0.500
Cu1 Cu 0.500 0.500 0.500
N1 N 0.500 0.500 0.000
# Energy in Ha/atom: -0.217
# Uncorrected formation energy in kJ/mol of atoms: -57.1
# Total moment in Bohr magnetons per cell: 0.0
# DOS(E_F) in states/eV/atom: 0.524

Entry 12:
# La8OsPd2 PBE optimized geometry
data_La8OsPd2
_cell_length_a 19.223
_cell_length_b 4.132
_cell_length_c 9.039
_cell_angle_alpha 90.00
_cell_angle_beta 93.59
_cell_angle_gamma 90.00
_space_group_name_H-M_alt 'C 1 2/m 1'
_space_group_IT_number 12
_space_group_name_Hall '-C 2y'
loop_
_atom_site_label
_atom_site_type_symbol
_atom_site_fract_x
_atom_site_fract_y
_atom_site_fract_z
La1 La 0.009 0.000 0.211
La2 La 0.097 0.500 0.534
La3 La 0.149 0.500 0.980
La4 La 0.223 0.000 0.337
Os1 Os 0.000 0.500 0.000
Pd1 Pd 0.169 0.000 0.735
# ΔH_f (0 K) in eV/atom: -0.331
# Energy in Ha/atom: -0.216
# Total moment in Bohr magnetons per cell: 0.0
# DOS(E_F) in states/eV/atom: 1.048

Q: Look up the total moment of the sixth one.
A: 0.0 Bohr magnetons per cell